No. 1
A plane-wave DFT calculation with GGA-PBE was carried out for a relaxed structure of AlTlGa2W.

Cell lengths 4.973, 5.368, 4.973 Å; angles 90.00, 90.00, 90.00 degrees
Element x y z (fractional)
Tl  0.000  0.500  0.000
Ga  0.000  0.000  0.500
Ga  0.500  0.000  0.000
W  0.000  0.000  0.000
Al  0.500  0.500  0.500

Computed properties:
**DFT total energy**: -4.27 eV per atom
**Energy relative to the elements**: 3.75 eV/f.u.
**Symmetry**: P4/mmm (123)

=====

No. 2
A plane-wave DFT calculation with GGA-PBE was carried out for a relaxed structure of ScRu3Pt.

Cell lengths 4.521, 4.521, 4.521 Å; angles 90.00, 90.00, 90.00 degrees
Last column: magnetic moment on the atom in μB.
Element x y z (fractional)
Sc  0.000  0.000  0.000  -0.05
Ru  0.000  0.500  0.000  0.36
Ru  0.000  0.000  0.500  0.28
Ru  0.500  0.000  0.000  0.39
Pt  0.500  0.500  0.500  0.06

Computed properties:
**DFT total energy**: -6.44 eV per atom
**Polymorph energy (0 for the lowest one)**: 257 meV/atom
**Energy relative to the elements**: 8.00 eV/f.u.
**Symmetry**: Pm-3m (221)

=====

No. 3
A plane-wave DFT calculation with GGA-PBE was carried out for a relaxed structure of Ac2MgRe2N6.

Cell lengths 5.843, 5.843, 6.942 Å; angles 65.11, 65.11, 60.00 degrees
Element x y z (fractional)
Ac  0.790  0.790  0.631
Ac  0.210  0.210  0.369
Mg  0.000  0.000  0.000
Re  0.398  0.398  0.805
Re  0.602  0.602  0.195
N  0.747  0.747  0.275
N  0.232  0.747  0.275
N  0.747  0.232  0.275
N  0.253  0.768  0.725
N  0.768  0.253  0.725
N  0.253  0.253  0.725

Computed properties:
**DFT total energy**: -8.28 eV per atom
**Symmetry**: R-3m (166)
**Formation energy (no corrections)**: -0.579 eV per atom

=====

No. 4
A plane-wave DFT calculation with GGA-PBE was carried out for a relaxed structure of PrCd3Hg2.

Cell lengths 4.603, 7.001, 10.452 Å; angles 69.97, 77.28, 70.80 degrees
Element x y z (fractional)
Pr  0.152  0.815  0.881
Pr  0.848  0.185  0.119
Cd  0.712  0.959  0.618
Cd  0.058  0.275  0.608
Cd  0.387  0.616  0.609
Cd  0.613  0.384  0.391
Cd  0.942  0.725  0.392
Cd  0.288  0.041  0.382
Hg  0.477  0.191  0.855
Hg  0.523  0.809  0.145
Hg  0.171  0.483  0.176
Hg  0.829  0.517  0.824

Computed properties:
**DFT total energy**: -1.59 eV per atom
**Polymorph energy (0 for the lowest one)**: 5 meV/atom
**Energy relative to the elements**: -1.43 eV/f.u.
**Symmetry**: C2/m (12)

=====

No. 5
A plane-wave DFT calculation with GGA-PBE was carried out for a relaxed structure of YGe2Pb.

Cell lengths 4.212, 4.712, 4.712 Å; angles 90.00, 90.00, 90.00 degrees
Element x y z (fractional)
Pb  0.500  0.500  0.500
Y  0.500  0.000  0.000
Ge  0.000  0.000  0.500
Ge  0.000  0.500  0.000

Computed properties:
**DFT total energy**: -5.16 eV per atom
**Energy relative to the elements**: -1.23 eV/f.u.
**Symmetry**: P4/mmm (123)

=====

No. 6
A plane-wave DFT calculation with GGA-PBE was carried out for a relaxed structure of La3Tb2Pr5.

Cell lengths 10.313, 10.248, 11.408 Å; angles 129.50, 129.62, 65.58 degrees
Element x y z (fractional)
La  0.227  0.977  0.954
La  0.773  0.023  0.046
La  0.723  0.467  0.248
La  0.277  0.533  0.752
La  0.026  0.781  0.248
La  0.974  0.219  0.752
Tb  0.780  0.023  0.749
Tb  0.220  0.977  0.251
Tb  0.469  0.726  0.749
Tb  0.531  0.274  0.251
Pr  0.270  0.520  0.040
Pr  0.730  0.480  0.960
Pr  0.017  0.767  0.534
Pr  0.522  0.272  0.545
Pr  0.983  0.233  0.466
Pr  0.478  0.728  0.455
Pr  0.863  0.620  0.747
Pr  0.137  0.380  0.253
Pr  0.384  0.127  0.747
Pr  0.616  0.873  0.253

Computed properties:
**DFT total energy**: -4.64 eV per atom
**Energy relative to the elements**: 1.56 eV/f.u.
**Symmetry**: C2/c (15)

=====

no.,total moment (μB per formula unit)
1,0.0
2,1.1
3,0.0
4,0.0
5,0.0
6,0.0